Density functional theory data (GGA-PBE) for a geometry-optimized SrCeTeO2 structure.

The uncorrected formation energy comes out at -2.71 eV per atom. The calculation puts the density of states at the Fermi level at 0.33 states/eV per cell. The calculated total energy is -6.843 eV/atom. Its space-group type is I4mm. For the density, the calculation gives 6.0 g/cm³.

a = 4.0430 Å, b = 4.0430 Å, c = 13.2176 Å
α = 90.00°, β = 90.00°, γ = 90.00°
Last column: nearest neighbours and their distance in Å.
Sites, in units of the cell vectors:
Sr 0.0000 0.0000 0.0000  4 O 2.48
Sr 0.5000 0.5000 0.5000  4 O 2.48
Ce 0.0000 0.0000 0.3186  4 O 2.24
Ce 0.5000 0.5000 0.8186  4 O 2.24
Te 0.0000 0.0000 0.6628  4 Ce 3.52, 4 Sr 3.58, 4 O 3.63
Te 0.5000 0.5000 0.1628  4 Ce 3.52, 4 Sr 3.58, 4 O 3.63
O 0.0000 0.5000 0.3913  2 Ce 2.24, 2 Sr 2.48
O 0.0000 0.5000 0.8913  2 Ce 2.24, 2 Sr 2.48
O 0.5000 0.0000 0.3913  2 Ce 2.24, 2 Sr 2.48
O 0.5000 0.0000 0.8913  2 Ce 2.24, 2 Sr 2.48

***

Density functional theory data (GGA-PBE) for a geometry-optimized NaCrMo2P structure.

The calculation puts the density of states at the Fermi level at 6.36 states/eV per cell. The calculated total energy is -6.088 eV/atom. Its space-group type is P4/mmm. For the density, the calculation gives 5.1 g/cm³.

a = 4.4151 Å, b = 4.4151 Å, c = 4.9790 Å
α = 90.00°, β = 90.00°, γ = 90.00°
Last column: nearest neighbours and their distance in Å.
Sites, in units of the cell vectors:
Na 0.0000 0.0000 0.0000  2 Cr 2.49
Cr 0.0000 0.0000 0.5000  4 Mo 2.21
Mo 0.0000 0.5000 0.5000  2 Cr 2.21
Mo 0.5000 0.0000 0.5000  2 Cr 2.21
P 0.5000 0.5000 0.0000  4 Na 3.12, 8 Mo 3.33

***

Density functional theory data (GGA-PBE) for a geometry-optimized PrEuSiPd structure.

The uncorrected formation energy comes out at -0.55 eV per atom. The calculation puts the density of states at the Fermi level at 47.80 states/eV per cell. The calculated total energy is -6.971 eV/atom. Its space-group type is F-43m. For the density, the calculation gives 7.3 g/cm³.

a = 7.3155 Å, b = 7.3155 Å, c = 7.3155 Å
α = 90.00°, β = 90.00°, γ = 90.00°
Last column: nearest neighbours and their distance in Å.
Sites, in units of the cell vectors:
Pr 0.0000 0.0000 0.0000  4 Pd 3.17, 4 Si 3.17
Pr 0.0000 0.5000 0.5000  4 Pd 3.17, 4 Si 3.17
Pr 0.5000 0.0000 0.5000  4 Pd 3.17, 4 Si 3.17
Pr 0.5000 0.5000 0.0000  4 Pd 3.17, 4 Si 3.17
Eu 0.0000 0.0000 0.5000  4 Pd 3.17, 4 Si 3.17
Eu 0.0000 0.5000 0.0000  4 Pd 3.17, 4 Si 3.17
Eu 0.5000 0.0000 0.0000  4 Pd 3.17, 4 Si 3.17
Eu 0.5000 0.5000 0.5000  4 Pd 3.17, 4 Si 3.17
Si 0.2500 0.2500 0.7500  4 Pr 3.17, 4 Eu 3.17
Si 0.2500 0.7500 0.2500  4 Pr 3.17, 4 Eu 3.17
Si 0.7500 0.2500 0.2500  4 Pr 3.17, 4 Eu 3.17
Si 0.7500 0.7500 0.7500  4 Pr 3.17, 4 Eu 3.17
Pd 0.2500 0.2500 0.2500  4 Pr 3.17, 4 Eu 3.17
Pd 0.2500 0.7500 0.7500  4 Pr 3.17, 4 Eu 3.17
Pd 0.7500 0.2500 0.7500  4 Pr 3.17, 4 Eu 3.17
Pd 0.7500 0.7500 0.2500  4 Pr 3.17, 4 Eu 3.17

***

Density functional theory data (GGA-PBE) for a geometry-optimized KFeNi2 structure.

The calculation puts the density of states at the Fermi level at 9.52 states/eV per cell. The calculated total energy is -4.147 eV/atom. Its space-group type is I-4m2. For the density, the calculation gives 5.5 g/cm³.

a = 3.9287 Å, b = 3.9287 Å, c = 8.3226 Å
α = 90.00°, β = 90.00°, γ = 90.00°
Last column: nearest neighbours and their distance in Å.
Sites, in units of the cell vectors:
K 0.0000 0.0000 0.0000  8 Ni 2.78-2.86, 4 Fe 2.86
K 0.5000 0.5000 0.5000  8 Ni 2.78-2.86, 4 Fe 2.86
Fe 0.0000 0.5000 0.2500  8 Ni 2.78-2.86, 4 K 2.86
Fe 0.5000 0.0000 0.7500  8 Ni 2.78-2.86, 4 K 2.86
Ni 0.0000 0.0000 0.5000  4 K 2.78, 4 Fe 2.86, 4 Ni 2.86
Ni 0.0000 0.5000 0.7500  4 Fe 2.78, 4 K 2.86, 4 Ni 2.86
Ni 0.5000 0.0000 0.2500  4 Fe 2.78, 4 K 2.86, 4 Ni 2.86
Ni 0.5000 0.5000 0.0000  4 K 2.78, 4 Fe 2.86, 4 Ni 2.86

***

Density functional theory data (GGA-PBE) for a geometry-optimized Ho6Tm5Mg structure.

The calculation puts the density of states at the Fermi level at 17.83 states/eV per cell. The calculated total energy is -4.259 eV/atom. Its space-group type is Immm. For the density, the calculation gives 8.6 g/cm³.

a = 9.2238 Å, b = 9.2238 Å, c = 9.2238 Å
α = 148.90°, β = 115.70°, γ = 73.15°
Last column: nearest neighbours and their distance in Å.
Sites, in units of the cell vectors:
Ho 0.0804 0.8322 0.2482  7 Tm 3.47-3.51, 4 Ho 3.47-3.51, 1 Mg 3.48
Ho 0.2501 0.5000 0.7501  6 Tm 3.47-3.49, 2 Mg 3.48, 4 Ho 3.51
Ho 0.4160 0.1678 0.2482  7 Tm 3.47-3.51, 4 Ho 3.47-3.51, 1 Mg 3.48
Ho 0.5840 0.8322 0.7518  7 Tm 3.47-3.51, 4 Ho 3.47-3.51, 1 Mg 3.48
Ho 0.7499 0.5000 0.2499  6 Tm 3.47-3.49, 2 Mg 3.48, 4 Ho 3.51
Ho 0.9196 0.1678 0.7518  7 Tm 3.47-3.51, 4 Ho 3.47-3.51, 1 Mg 3.48
Tm 0.1676 0.6676 0.5000  8 Ho 3.47-3.49, 2 Tm 3.50, 2 Mg 3.50
Tm 0.3343 0.3343 0.0000  8 Ho 3.47-3.50, 4 Tm 3.48-3.50
Tm 0.5000 0.0000 0.5000  8 Ho 3.48-3.51, 4 Tm 3.48
Tm 0.6657 0.6657 0.0000  8 Ho 3.47-3.50, 4 Tm 3.48-3.50
Tm 0.8324 0.3324 0.5000  8 Ho 3.47-3.49, 2 Tm 3.50, 2 Mg 3.50
Mg 0.0000 0.0000 0.0000  8 Ho 3.48, 4 Tm 3.50

***

Density functional theory data (GGA-PBE) for a geometry-optimized Ho2LuBr structure.

The uncorrected formation energy comes out at -0.50 eV per atom. The calculation puts the density of states at the Fermi level at 13.26 states/eV per cell. The calculated total energy is -4.339 eV/atom. Its space-group type is R-3m. For the density, the calculation gives 8.5 g/cm³.

a = 3.6111 Å, b = 3.6111 Å, c = 30.3781 Å
α = 90.00°, β = 90.00°, γ = 120.00°
Last column: nearest neighbours and their distance in Å.
Sites, in units of the cell vectors:
Ho 0.0000 0.0000 0.2436  3 Br 3.13, 3 Lu 3.43
Ho 0.0000 0.0000 0.7564  3 Br 3.13, 3 Lu 3.43
Ho 0.3333 0.6667 0.4231  3 Br 3.13, 3 Lu 3.43
Ho 0.3333 0.6667 0.9102  3 Br 3.13, 3 Lu 3.43
Ho 0.6667 0.3333 0.0898  3 Br 3.13, 3 Lu 3.43
Ho 0.6667 0.3333 0.5769  3 Br 3.13, 3 Lu 3.43
Lu 0.0000 0.0000 0.0000  6 Ho 3.43, 6 Lu 3.61
Lu 0.3333 0.6667 0.6667  6 Ho 3.43, 6 Lu 3.61
Lu 0.6667 0.3333 0.3333  6 Ho 3.43, 6 Lu 3.61
Br 0.0000 0.0000 0.5000  6 Ho 3.13
Br 0.3333 0.6667 0.1667  6 Ho 3.13
Br 0.6667 0.3333 0.8333  6 Ho 3.13

***

Density functional theory data (GGA-PBE) for a geometry-optimized CaPrCuPd structure.

The calculation puts the density of states at the Fermi level at 15.46 states/eV per cell. The calculated total energy is -4.432 eV/atom. Its space-group type is F-43m. For the density, the calculation gives 6.3 g/cm³.

a = 7.1871 Å, b = 7.1871 Å, c = 7.1871 Å
α = 90.00°, β = 90.00°, γ = 90.00°
Last column: nearest neighbours and their distance in Å.
Sites, in units of the cell vectors:
Ca 0.0000 0.0000 0.0000  4 Cu 3.11, 4 Pd 3.11
Ca 0.0000 0.5000 0.5000  4 Pd 3.11, 4 Cu 3.11
Ca 0.5000 0.0000 0.5000  4 Pd 3.11, 4 Cu 3.11
Ca 0.5000 0.5000 0.0000  4 Pd 3.11, 4 Cu 3.11
Pr 0.0000 0.0000 0.5000  4 Cu 3.11, 4 Pd 3.11
Pr 0.0000 0.5000 0.0000  4 Cu 3.11, 4 Pd 3.11
Pr 0.5000 0.0000 0.0000  4 Cu 3.11, 4 Pd 3.11
Pr 0.5000 0.5000 0.5000  4 Cu 3.11, 4 Pd 3.11
Cu 0.2500 0.2500 0.2500  4 Pr 3.11, 4 Ca 3.11
Cu 0.2500 0.7500 0.7500  4 Pr 3.11, 4 Ca 3.11
Cu 0.7500 0.2500 0.7500  4 Pr 3.11, 4 Ca 3.11
Cu 0.7500 0.7500 0.2500  4 Pr 3.11, 4 Ca 3.11
Pd 0.2500 0.2500 0.7500  4 Pr 3.11, 4 Ca 3.11
Pd 0.2500 0.7500 0.2500  4 Pr 3.11, 4 Ca 3.11
Pd 0.7500 0.2500 0.2500  4 Pr 3.11, 4 Ca 3.11
Pd 0.7500 0.7500 0.7500  4 Pr 3.11, 4 Ca 3.11

***

Density functional theory data (GGA-PBE) for a geometry-optimized Cr3Ge2N structure.

The uncorrected formation energy comes out at -0.01 eV per atom. The calculation puts the density of states at the Fermi level at 6.83 states/eV per cell. The calculated total energy is -7.744 eV/atom. Its space-group type is Cmcm. For the density, the calculation gives 6.2 g/cm³.

a = 6.0313 Å, b = 6.0313 Å, c = 5.0604 Å
α = 90.00°, β = 90.00°, γ = 65.79°
Last column: nearest neighbours and their distance in Å.
Sites, in units of the cell vectors:
Cr 0.1325 0.8675 0.7500  1 N 1.92
Cr 0.3661 0.3661 0.0000  2 N 1.92
Cr 0.3661 0.3661 0.5000  2 N 1.92
Cr 0.6339 0.6339 0.0000  2 N 1.92
Cr 0.6339 0.6339 0.5000  2 N 1.92
Cr 0.8675 0.1325 0.2500  1 N 1.92
Ge 0.0044 0.3340 0.7500  5 Cr 2.56-2.60
Ge 0.3340 0.0044 0.2500  5 Cr 2.56-2.60
Ge 0.6660 0.9956 0.7500  5 Cr 2.56-2.60
Ge 0.9956 0.6660 0.2500  5 Cr 2.56-2.60
N 0.4258 0.5742 0.7500  5 Cr 1.92
N 0.5742 0.4258 0.2500  5 Cr 1.92

***

Density functional theory data (GGA-PBE) for a geometry-optimized BHCl2 structure.

The calculation puts the density of states at the Fermi level at 0.00 states/eV per cell. The calculated total energy is -2.850 eV/atom. Its space-group type is R-3m. For the density, the calculation gives 1.7 g/cm³.

a = 3.6750 Å, b = 3.6750 Å, c = 20.1687 Å
α = 90.00°, β = 90.00°, γ = 120.00°
Last column: nearest neighbours and their distance in Å.
Sites, in units of the cell vectors:
B 0.0000 0.0000 0.0000  2 Cl 1.64
B 0.3333 0.6667 0.6667  2 Cl 1.64
B 0.6667 0.3333 0.3333  2 Cl 1.64
H 0.0000 0.0000 0.5000  6 Cl 2.73
H 0.3333 0.6667 0.1667  6 Cl 2.73
H 0.6667 0.3333 0.8333  6 Cl 2.73
Cl 0.0000 0.0000 0.0813  1 B 1.64
Cl 0.0000 0.0000 0.9187  1 B 1.64
Cl 0.3333 0.6667 0.5854  1 B 1.64
Cl 0.3333 0.6667 0.7479  1 B 1.64
Cl 0.6667 0.3333 0.2521  1 B 1.64
Cl 0.6667 0.3333 0.4146  1 B 1.64

***

Density functional theory data (GGA-PBE) for a geometry-optimized CaCd2SiO4 structure.

The uncorrected formation energy comes out at -1.88 eV per atom. The calculation puts the density of states at the Fermi level at 1.10 states/eV per cell. The calculated total energy is -5.516 eV/atom. Its space-group type is Fmm2. For the density, the calculation gives 4.6 g/cm³.

a = 6.4828 Å, b = 6.4797 Å, c = 4.8265 Å
α = 68.17°, β = 68.11°, γ = 43.72°
Last column: nearest neighbours and their distance in Å.
Sites, in units of the cell vectors:
Ca 0.0000 0.0000 0.0000  4 O 2.27
Cd 0.2496 0.2496 0.2504  4 O 2.50
Cd 0.7496 0.7496 0.7504  4 O 2.50
Si 0.4993 0.4993 0.5007  4 O 1.66
O 0.2131 0.6102 0.7869  1 Si 1.66
O 0.3889 0.7852 0.2148  1 Si 1.66
O 0.6102 0.2131 0.3898  1 Si 1.66
O 0.7852 0.3889 0.6111  1 Si 1.66

***

Density functional theory data (GGA-PBE) for a geometry-optimized LaNd3Pd3 structure.

The calculation puts the density of states at the Fermi level at 13.42 states/eV per cell. The calculated total energy is -5.575 eV/atom. Its space-group type is C2/m. For the density, the calculation gives 7.8 g/cm³.

a = 7.2405 Å, b = 7.2405 Å, c = 7.2582 Å
α = 90.59°, β = 90.59°, γ = 95.05°
Last column: nearest neighbours and their distance in Å.
Sites, in units of the cell vectors:
La 0.2427 0.2427 0.3773  4 Pd 2.87-3.20
La 0.7573 0.7573 0.6227  4 Pd 2.87-3.20
Nd 0.1584 0.1584 0.8773  3 Pd 2.96-3.04
Nd 0.2477 0.7523 0.5000  6 Pd 3.10-3.22
Nd 0.3217 0.6783 0.0000  6 Pd 2.95-3.10
Nd 0.6783 0.3217 0.0000  6 Pd 2.95-3.10
Nd 0.7523 0.2477 0.5000  6 Pd 3.10-3.22
Nd 0.8416 0.8416 0.1227  3 Pd 2.96-3.04
Pd 0.0049 0.5114 0.7799  1 La 2.87, 4 Nd 2.95-3.14, 1 Pd 3.20
Pd 0.4345 0.4345 0.6913  2 La 2.93-3.20, 5 Nd 3.00-3.10, 3 Pd 3.08-3.28
Pd 0.4886 0.9951 0.2201  1 La 2.87, 4 Nd 2.95-3.14, 1 Pd 3.20
Pd 0.5114 0.0049 0.7799  1 La 2.87, 4 Nd 2.95-3.14, 1 Pd 3.20
Pd 0.5655 0.5655 0.3087  2 La 2.93-3.20, 5 Nd 3.00-3.10, 3 Pd 3.08-3.28
Pd 0.9951 0.4886 0.2201  1 La 2.87, 4 Nd 2.95-3.14, 1 Pd 3.20

***

Density functional theory data (GGA-PBE) for a geometry-optimized PuAl2Au structure.

The calculation puts the density of states at the Fermi level at 28.18 states/eV per cell. The calculated total energy is -6.584 eV/atom. Its space-group type is R-3m. For the density, the calculation gives 9.7 g/cm³.

a = 4.3108 Å, b = 4.3108 Å, c = 15.7461 Å
α = 90.00°, β = 90.00°, γ = 120.00°
Last column: nearest neighbours and their distance in Å.
Sites, in units of the cell vectors:
Pu 0.0000 0.0000 0.0000  8 Al 3.11-3.38
Pu 0.3333 0.6667 0.6667  8 Al 3.11-3.38
Pu 0.6667 0.3333 0.3333  8 Al 3.11-3.38
Al 0.0000 0.0000 0.2146  3 Au 2.60, 3 Al 2.91
Al 0.0000 0.0000 0.7854  3 Au 2.60, 3 Al 2.91
Al 0.3333 0.6667 0.4521  3 Au 2.60, 3 Al 2.91
Al 0.3333 0.6667 0.8813  3 Au 2.60, 3 Al 2.91
Al 0.6667 0.3333 0.1187  3 Au 2.60, 3 Al 2.91
Al 0.6667 0.3333 0.5479  3 Au 2.60, 3 Al 2.91
Au 0.0000 0.0000 0.5000  6 Al 2.60
Au 0.3333 0.6667 0.1667  6 Al 2.60
Au 0.6667 0.3333 0.8333  6 Al 2.60